1) # CrTe3O GGA+U optimized geometry
# density of states at the Fermi level = 7.46 states/eV/f.u.
data_CrTe3O
_chemical_formula_sum 'Cr1 Te3 O1'
_cell_length_a 4.972
_cell_length_b 4.972
_cell_length_c 4.972
_cell_angle_alpha 90.00
_cell_angle_beta 90.00
_cell_angle_gamma 90.00
_space_group_name_H-M_alt 'P m -3 m'
_space_group_IT_number 221
_space_group_name_Hall '-P 4 2 3'
loop_
_atom_site_label
_atom_site_fract_x
_atom_site_fract_y
_atom_site_fract_z
Cr1 0.000 0.000 0.000
Te1 0.000 0.000 0.500
O1 0.500 0.500 0.500



2) # CrTe3O GGA+U optimized geometry
# density of states at the Fermi level = 3.36 states/eV/f.u.
data_CrTe3O
_chemical_formula_sum 'Cr1 Te3 O1'
_cell_length_a 4.864
_cell_length_b 4.864
_cell_length_c 4.864
_cell_angle_alpha 90.00
_cell_angle_beta 90.00
_cell_angle_gamma 90.00
_space_group_name_H-M_alt 'P m -3 m'
_space_group_IT_number 221
_space_group_name_Hall '-P 4 2 3'
loop_
_atom_site_label
_atom_site_fract_x
_atom_site_fract_y
_atom_site_fract_z
Cr1 0.000 0.000 0.000
Te1 0.000 0.500 0.500
O1 0.500 0.500 0.500



Most stable: 2)



1) # Cr3TeO GGA+U optimized geometry
# density of states at the Fermi level = 6.22 states/eV/f.u.
data_Cr3TeO
_chemical_formula_sum 'Cr3 Te1 O1'
_cell_length_a 5.314
_cell_length_b 5.314
_cell_length_c 5.314
_cell_angle_alpha 90.00
_cell_angle_beta 90.00
_cell_angle_gamma 90.00
_space_group_name_H-M_alt 'P m -3 m'
_space_group_IT_number 221
_space_group_name_Hall '-P 4 2 3'
loop_
_atom_site_label
_atom_site_fract_x
_atom_site_fract_y
_atom_site_fract_z
Cr1 0.000 0.000 0.500
Te1 0.000 0.000 0.000
O1 0.500 0.500 0.500



2) # Cr3TeO GGA+U optimized geometry
# density of states at the Fermi level = 3.18 states/eV/f.u.
data_Cr3TeO
_chemical_formula_sum 'Cr3 Te1 O1'
_cell_length_a 4.487
_cell_length_b 4.487
_cell_length_c 4.487
_cell_angle_alpha 90.00
_cell_angle_beta 90.00
_cell_angle_gamma 90.00
_space_group_name_H-M_alt 'P m -3 m'
_space_group_IT_number 221
_space_group_name_Hall '-P 4 2 3'
loop_
_atom_site_label
_atom_site_fract_x
_atom_site_fract_y
_atom_site_fract_z
Cr1 0.000 0.000 0.500
Te1 0.500 0.500 0.500
O1 0.000 0.000 0.000



Most stable: 2)



1) # CrTeO4 GGA+U optimized geometry
# density of states at the Fermi level = 1.95 states/eV/f.u.
data_CrTeO4
_chemical_formula_sum 'Cr2 Te2 O8'
_cell_length_a 5.157
_cell_length_b 4.759
_cell_length_c 5.757
_cell_angle_alpha 90.00
_cell_angle_beta 90.00
_cell_angle_gamma 90.00
_space_group_name_H-M_alt 'P n c 2'
_space_group_IT_number 30
loop_
_space_group_symop_operation_xyz
'x,y,z'
'-x,-y,z'
'-x,y+1/2,z+1/2'
'x,-y+1/2,z+1/2'
loop_
_atom_site_label
_atom_site_fract_x
_atom_site_fract_y
_atom_site_fract_z
Cr1 0.000 0.000 0.000
Te1 0.500 0.000 0.309
O1 0.170 0.235 0.257
O2 0.328 0.724 0.545



2) # CrTeO4 GGA+U optimized geometry
# density of states at the Fermi level = 1.30 states/eV/f.u.
data_CrTeO4
_chemical_formula_sum 'Cr2 Te2 O8'
_cell_length_a 6.544
_cell_length_b 6.681
_cell_length_c 3.253
_cell_angle_alpha 90.00
_cell_angle_beta 90.00
_cell_angle_gamma 90.00
_space_group_name_H-M_alt 'C m m m'
_space_group_IT_number 65
_space_group_name_Hall '-C 2 2'
loop_
_atom_site_label
_atom_site_fract_x
_atom_site_fract_y
_atom_site_fract_z
Cr1 0.000 0.000 0.000
Te1 0.000 0.500 0.500
O1 0.000 0.306 0.000
O2 0.190 0.000 0.500



Most stable: 2)



1) # YbCrTeO6 GGA+U optimized geometry
# density of states at the Fermi level = 16.60 states/eV/f.u.
data_YbCrTeO6
_chemical_formula_sum 'Yb2 Cr2 Te2 O12'
_cell_length_a 5.1832
_cell_length_b 5.1832
_cell_length_c 9.8985
_cell_angle_alpha 90.00
_cell_angle_beta 90.00
_cell_angle_gamma 120.00
_space_group_name_H-M_alt 'P -3'
_space_group_IT_number 147
loop_
_space_group_symop_operation_xyz
'x,y,z'
'-x,-y,-z'
'-y,x-y,z'
'y,-x+y,-z'
'-x+y,-x,z'
'x-y,x,-z'
loop_
_atom_site_label
_atom_site_fract_x
_atom_site_fract_y
_atom_site_fract_z
Yb1 0.0000 0.0000 0.0000
Yb2 0.0000 0.0000 0.5000
Cr1 0.3333 0.6667 0.2509
Te1 0.3333 0.6667 0.7499
O1 0.0067 0.3671 0.6399
O2 0.0066 0.6395 0.8586



2) # YbCrTeO6 GGA+U optimized geometry
# density of states at the Fermi level = 11.99 states/eV/f.u.
data_YbCrTeO6
_chemical_formula_sum 'Yb2 Cr2 Te2 O12'
_cell_length_a 5.4002
_cell_length_b 5.4002
_cell_length_c 8.5972
_cell_angle_alpha 90.00
_cell_angle_beta 90.00
_cell_angle_gamma 120.00
_space_group_name_H-M_alt 'P -3 1 c'
_space_group_IT_number 163
_space_group_name_Hall '-P 3 2c'
loop_
_atom_site_label
_atom_site_fract_x
_atom_site_fract_y
_atom_site_fract_z
Yb1 0.3333 0.6667 0.2500
Cr1 0.0000 0.0000 0.0000
Te1 0.3333 0.6667 0.7500
O1 0.0439 0.3523 0.8771



Most stable: 1)



1) # Ti3CrO GGA+U optimized geometry
# density of states at the Fermi level = 5.83 states/eV/f.u.
data_Ti3CrO
_chemical_formula_sum 'Ti3 Cr1 O1'
_cell_length_a 4.088
_cell_length_b 4.088
_cell_length_c 4.088
_cell_angle_alpha 90.00
_cell_angle_beta 90.00
_cell_angle_gamma 90.00
_space_group_name_H-M_alt 'P m -3 m'
_space_group_IT_number 221
_space_group_name_Hall '-P 4 2 3'
loop_
_atom_site_label
_atom_site_fract_x
_atom_site_fract_y
_atom_site_fract_z
Ti1 0.000 0.000 0.500
Cr1 0.500 0.500 0.500
O1 0.000 0.000 0.000



2) # Ti3CrO GGA+U optimized geometry
# density of states at the Fermi level = 5.93 states/eV/f.u.
data_Ti3CrO
_chemical_formula_sum 'Ti3 Cr1 O1'
_cell_length_a 4.542
_cell_length_b 4.542
_cell_length_c 4.542
_cell_angle_alpha 90.00
_cell_angle_beta 90.00
_cell_angle_gamma 90.00
_space_group_name_H-M_alt 'P m -3 m'
_space_group_IT_number 221
_space_group_name_Hall '-P 4 2 3'
loop_
_atom_site_label
_atom_site_fract_x
_atom_site_fract_y
_atom_site_fract_z
Ti1 0.000 0.000 0.500
Cr1 0.000 0.000 0.000
O1 0.500 0.500 0.500



Most stable: 1)



1) # TiCr3O GGA+U optimized geometry
# density of states at the Fermi level = 8.89 states/eV/f.u.
data_TiCr3O
_chemical_formula_sum 'Ti1 Cr3 O1'
_cell_length_a 4.259
_cell_length_b 4.259
_cell_length_c 4.259
_cell_angle_alpha 90.00
_cell_angle_beta 90.00
_cell_angle_gamma 90.00
_space_group_name_H-M_alt 'P m -3 m'
_space_group_IT_number 221
_space_group_name_Hall '-P 4 2 3'
loop_
_atom_site_label
_atom_site_fract_x
_atom_site_fract_y
_atom_site_fract_z
Ti1 0.000 0.000 0.000
Cr1 0.000 0.500 0.500
O1 0.500 0.500 0.500



2) # TiCr3O GGA+U optimized geometry
# density of states at the Fermi level = 5.57 states/eV/f.u.
data_TiCr3O
_chemical_formula_sum 'Ti1 Cr3 O1'
_cell_length_a 4.802
_cell_length_b 4.802
_cell_length_c 4.802
_cell_angle_alpha 90.00
_cell_angle_beta 90.00
_cell_angle_gamma 90.00
_space_group_name_H-M_alt 'P m -3 m'
_space_group_IT_number 221
_space_group_name_Hall '-P 4 2 3'
loop_
_atom_site_label
_atom_site_fract_x
_atom_site_fract_y
_atom_site_fract_z
Ti1 0.000 0.000 0.000
Cr1 0.000 0.000 0.500
O1 0.500 0.500 0.500



Most stable: 1)